[1]
{
  "formula": "NdCuAsS",
  "functional": "PBE-GGA",
  "state": "relaxed",
  "raw_formation_energy_ev_per_atom": -0.9291,
  "dos_at_fermi_per_ev_atom": 0.459,
  "rho_kg_m3": 6640,
  "energy_ev_per_atom": -5.339,
  "lattice": [[4.112, 0.000, 0.000], [0.000, 4.112, 0.000], [0.000, 0.000, 9.313]],
  "species": ["Nd", "Nd", "Cu", "Cu", "As", "As", "S", "S"],
  "fractional_positions": [[0.250, 0.250, 0.218], [0.750, 0.750, 0.782], [0.250, 0.750, 0.500], [0.750, 0.250, 0.500], [0.250, 0.250, 0.656], [0.750, 0.750, 0.344], [0.250, 0.750, 0.000], [0.750, 0.250, 0.000]]
}

---

[2]
{
  "formula": "SrNdCu2As2",
  "functional": "PBE-GGA",
  "state": "relaxed",
  "dos_at_fermi_per_ev_atom": 0.507,
  "rho_kg_m3": 6486,
  "energy_ev_per_atom": -4.841,
  "formation_energy_mev_per_atom": -851,
  "lattice": [[4.203, 0.000, 0.000], [-2.101, 3.640, 0.000], [0.000, 0.000, 8.516]],
  "species": ["Sr", "Nd", "Cu", "Cu", "As", "As"],
  "fractional_positions": [[0.000, 0.000, 0.000], [0.000, 0.000, 0.500], [0.333, 0.667, 0.727], [0.667, 0.333, 0.273], [0.333, 0.667, 0.257], [0.667, 0.333, 0.743]]
}